[1]
This record from Alexandria via LeMat-Bulk describes a relaxed structure of Be24Rh5. The functional is GGA-PBE.

```
data_Be24Rh5
_chemical_formula_sum 'Be48 Rh10'
_cell_length_a 8.046
_cell_length_b 8.046
_cell_length_c 8.046
_cell_angle_alpha 90.00
_cell_angle_beta 90.00
_cell_angle_gamma 90.00
_symmetry_space_group_name_H-M 'I -4 3 m'
_symmetry_Int_Tables_number 217
_symmetry_space_group_name_Hall 'I -4 2 3'
loop_
_atom_site_label
_atom_site_fract_x
_atom_site_fract_y
_atom_site_fract_z
_atom_site_occupancy
Be1 0.032 0.356 0.644 1
Be2 0.090 0.090 0.723 1
Rh1 0.000 0.000 0.000 1
Rh2 0.198 0.198 0.198 1
```

Energy relative to the elements in eV per atom: -0.35

***

[2]
This record from Alexandria via LeMat-Bulk describes a relaxed structure of PtRhF6. The functional is GGA-PBE.

```
data_PtRhF6
_chemical_formula_sum 'Pt1 Rh1 F6'
_cell_length_a 4.9817
_cell_length_b 4.9817
_cell_length_c 4.7545
_cell_angle_alpha 90.00
_cell_angle_beta 90.00
_cell_angle_gamma 120.00
_symmetry_space_group_name_H-M 'P 3 1 2'
_symmetry_Int_Tables_number 149
_symmetry_space_group_name_Hall 'P 3 2'
loop_
_atom_site_label
_atom_site_fract_x
_atom_site_fract_y
_atom_site_fract_z
_atom_site_occupancy
Pt1 0.0000 0.0000 0.0000 1
Rh1 0.3333 0.6667 0.5000 1
F1 0.3388 0.0023 0.2521 1
```

VASP energy in eV per cell: -34.98

***

It is found that the mass density values, taken in the order of the records, are 4.659 6.695 g/cm3.
It is found that the D(E_F) values, taken in the order of the records, are 0.093 0.519 states/eV/atom.